Entry from the Open Quantum Materials Database: crystalline BeFeAsW at its relaxed geometry (PBE).

The magnetic moment is 2.35 μB per formula unit. The calculation puts the energy at -0.253 Ha/atom. The calculation puts the energy relative to the lowest polymorph listed for this composition at 210 meV per atom.

The structure belongs to space group F-43m (No. 216); the cell edges are 5.8928, 5.8928 and 5.8928 Å and the angles 90.00°, 90.00° and 90.00°. The asymmetric unit holds Be at (0.0000, 0.0000, 0.0000), Fe at (0.0000, 0.0000, 0.5000), As at (0.2500, 0.2500, 0.2500) and W at (0.2500, 0.2500, 0.7500).